Ca2TlAs2 after structural relaxation. Source: Alexandria via LeMat-Bulk, functional PBE-GGA.

Cell: 8.741 8.741 3.384 Å, 90.00 90.00 90.00°
Fractional coordinates of all 10 atoms:
Ca: 0.142 0.358 0.000
Ca: 0.358 0.858 0.000
Ca: 0.642 0.142 0.000
Ca: 0.858 0.642 0.000
Tl: 0.000 0.000 0.500
Tl: 0.500 0.500 0.500
As: 0.157 0.657 0.500
As: 0.343 0.157 0.500
As: 0.657 0.843 0.500
As: 0.843 0.343 0.500

Calculated values
- Formation enthalpy at 0 K: -0.726 eV/atom
- Energy: -3.860 eV/atom